# 1
# ZnCu2Hg

ZnCu2Hg at its PBEsol-relaxed geometry (meta-GGA SCAN, the Alexandria database).

Cell: 2.8246 2.8246 8.5888 Å, 80.54 80.54 60.00°
Fractional positions:
Zn 0.0000 0.0000 0.0000
Cu 0.7432 0.7432 0.7704
Cu 0.2568 0.2568 0.2296
Hg 0.5000 0.5000 0.5000

Results
- volume (Å³ per cell) = 58.26
- formation enthalpy at 0 K (eV/atom) = 0.18

# 2
# CdTeMo2

CdTeMo2 at its PBEsol-relaxed geometry (meta-GGA SCAN, the Alexandria database).

Cell: 3.1139 4.6329 5.3432 Å, 90.00 103.10 90.00°
Fractional positions:
Mo 0.6951 0.5000 0.2245
Mo 0.9728 0.0000 0.0501
Cd 0.1942 0.5000 0.7468
Te 0.6380 0.0000 0.4786

Results
- volume (Å³ per cell) = 75.08
- ΔE_f (raw) (kJ/mol of formula units) = 224

# 3
# Cd2Co2Sb

Cd2Co2Sb at its PBEsol-relaxed geometry (meta-GGA SCAN, the Alexandria database).

Cell: 3.2522 3.2522 9.1517 Å, 100.23 100.23 90.00°
Fractional positions:
Co 0.7500 0.2500 0.5000
Co 0.2500 0.7500 0.5000
Sb 0.0000 0.0000 0.0000
Cd 0.3729 0.3729 0.7459
Cd 0.6271 0.6271 0.2541

Results
- volume (Å³ per cell) = 93.69
- ΔE_f (raw) (kJ/mol of formula units) = 158

# 4
# LiIrF2

LiIrF2 at its PBEsol-relaxed geometry (meta-GGA SCAN, the Alexandria database).

Cell: 4.0113 4.0113 4.0113 Å, 60.00 60.00 60.00°
Fractional positions:
Li 0.0000 0.0000 0.0000
Ir 0.5000 0.5000 0.5000
F 0.2500 0.2500 0.2500
F 0.7500 0.7500 0.7500

Results
- volume (Å³ per cell) = 45.64
- ΔE_f (raw) (kJ/mol of formula units) = -218

# 5
# YZn3Cu

YZn3Cu at its PBEsol-relaxed geometry (meta-GGA SCAN, the Alexandria database).

Cell: 4.4962 4.4962 4.4962 Å, 90.00 90.00 90.00°
Fractional positions:
Cu 0.0000 0.0000 0.0000
Zn 0.0000 0.5000 0.0000
Zn 0.5000 0.0000 0.0000
Zn 0.0000 0.0000 0.5000
Y 0.5000 0.5000 0.5000

Results
- volume (Å³ per cell) = 90.89
- formation enthalpy at 0 K (eV/atom) = -0.14

# 6
# ZnAgHRu2

ZnAgHRu2 at its PBEsol-relaxed geometry (meta-GGA SCAN, the Alexandria database).

Cell: 2.8582 4.8246 4.8246 Å, 90.00 90.00 90.00°
Fractional positions:
H 0.5000 0.0000 0.0000
Zn 0.0000 0.0000 0.0000
Ru 0.0000 0.0000 0.5000
Ru 0.0000 0.5000 0.0000
Ag 0.5000 0.5000 0.5000

Results
- volume (Å³ per cell) = 66.53

| no. | electronic total energy (hartree per atom) |
| --- | --- |
| 1 | -1.0231 |
| 2 | -1.2413 |
| 3 | -0.9633 |
| 4 | -0.7609 |
| 5 | -0.6194 |
| 6 | -0.8256 |